Material: NaH3Os
Method: DFT, GGA-PBE
State: relaxed Values from VASP.

Geometry as Quantum ESPRESSO input:
```
&SYSTEM
  ibrav = 0, nat = 5, ntyp = 3
/
ATOMIC_SPECIES
Os 190.23 Os.upf
H 1.01 H.upf
Na 22.99 Na.upf
CELL_PARAMETERS angstrom
-2.8178 -0.8250 1.7251
1.9091 -1.0386 2.6216
-0.1090 3.1364 1.3219
ATOMIC_POSITIONS crystal
Os 0.5000 0.5000 0.5000
H 0.5000 0.0000 0.0000
H 0.0000 0.0000 0.5000
H 0.0000 0.5000 0.0000
Na 0.0000 0.0000 0.0000
```

Its total energy is -3.20 eV/atom. Its space group is Pm-3m, No. 221. The value obtained for the energy above the most stable polymorph in this dataset is 1188 meV/atom.

***

Material: Te2HRhN
Method: DFT, GGA-PBE
State: relaxed Values from VASP.

Geometry as Quantum ESPRESSO input:
```
&SYSTEM
  ibrav = 0, nat = 5, ntyp = 4
/
ATOMIC_SPECIES
N 14.01 N.upf
Te 127.60 Te.upf
H 1.01 H.upf
Rh 102.91 Rh.upf
CELL_PARAMETERS angstrom
-3.5322 -1.6148 -3.2266
2.7005 -4.1776 -0.8655
-1.3744 -1.3390 2.1747
ATOMIC_POSITIONS crystal
N 0.0000 0.0000 0.5000
Te 0.0000 0.5000 0.0000
Te 0.5000 0.0000 0.0000
H 0.0000 0.0000 0.0000
Rh 0.5000 0.5000 0.5000
```

Its total energy is -4.18 eV/atom. Its space group is P4/mmm, No. 123. The value obtained for the energy above the most stable polymorph in this dataset is 11 meV/atom.

***

Material: Dy2ErMg4
Method: DFT, GGA-PBE
State: relaxed Values from VASP.

Geometry as Quantum ESPRESSO input:
```
&SYSTEM
  ibrav = 0, nat = 7, ntyp = 3
/
ATOMIC_SPECIES
Mg 24.30 Mg.upf
Er 167.26 Er.upf
Dy 162.50 Dy.upf
CELL_PARAMETERS angstrom
5.3974 0.0000 0.0000
0.0000 5.9599 0.0000
0.0000 -2.9799 6.5226
ATOMIC_POSITIONS crystal
Mg 0.0000 0.2602 0.5204
Mg 0.5000 0.6177 0.2354
Mg 0.0000 0.7398 0.4796
Mg 0.5000 0.3823 0.7646
Er 0.0000 0.5000 0.0000
Dy 0.5000 0.1320 0.2639
Dy 0.5000 0.8680 0.7361
```

Its total energy is -2.48 eV/atom. The energy relative to the elements comes out at 395 meV per atom. Its space group is Cmmm, No. 65. The value obtained for the energy above the most stable polymorph in this dataset is 251 meV/atom.

***

Material: ErZrGaRh
Method: DFT, GGA-PBE
State: relaxed Values from VASP.

Geometry as Quantum ESPRESSO input:
```
&SYSTEM
  ibrav = 0, nat = 4, ntyp = 4
/
ATOMIC_SPECIES
Er 167.26 Er.upf
Rh 102.91 Rh.upf
Zr 91.22 Zr.upf
Ga 69.72 Ga.upf
CELL_PARAMETERS angstrom
4.8161 0.0000 0.0000
2.4081 4.1709 0.0000
2.4081 1.3903 3.9323
ATOMIC_POSITIONS crystal
Er 0.2500 0.2500 0.2500
Rh 0.5000 0.5000 0.5000
Zr 0.7500 0.7500 0.7500
Ga 0.0000 0.0000 0.0000
```

Its total energy is -6.46 eV/atom. The energy relative to the elements comes out at -590 meV per atom. Its space group is F-43m, No. 216.

***

Material: YAgPt2F
Method: DFT, GGA-PBE
State: relaxed Values from VASP.

Geometry as Quantum ESPRESSO input:
```
&SYSTEM
  ibrav = 0, nat = 5, ntyp = 4
/
ATOMIC_SPECIES
Pt 195.08 Pt.upf
Y 88.91 Y.upf
F 19.00 F.upf
Ag 107.87 Ag.upf
CELL_PARAMETERS angstrom
-2.7341 1.4354 3.3669
-3.4600 -2.0446 -1.9380
0.9193 -3.7984 2.3660
ATOMIC_POSITIONS crystal
Pt 0.5000 0.0000 0.0000
Pt 0.0000 0.0000 0.5000
Y 0.5000 0.5000 0.5000
F 0.0000 0.0000 0.0000
Ag 0.0000 0.5000 0.0000
```

Its total energy is -4.91 eV/atom. Its formation energy (no corrections) is -0.255 eV per atom. Its space group is P4/mmm, No. 123.

***

Material: SmDy
Method: DFT, GGA-PBE
State: relaxed Values from VASP.

Geometry as Quantum ESPRESSO input:
```
&SYSTEM
  ibrav = 0, nat = 4, ntyp = 2
/
ATOMIC_SPECIES
Sm 150.36 Sm.upf
Dy 162.50 Dy.upf
CELL_PARAMETERS angstrom
-2.6182 1.3313 2.1776
2.5583 -3.0209 4.9206
3.2566 4.5774 1.1171
ATOMIC_POSITIONS crystal
Sm 0.0001 0.6675 0.2500
Sm 0.9999 0.3325 0.7500
Dy 0.4996 0.1657 0.2500
Dy 0.5004 0.8343 0.7500
```

Its total energy is -4.64 eV/atom. The energy relative to the elements comes out at 22 meV per atom. Its space group is Pmma, No. 51. The value obtained for the energy above the most stable polymorph in this dataset is 0 meV/atom.

***

Material: Al2GeSe
Method: DFT, GGA-PBE
State: relaxed Values from VASP.

Geometry as Quantum ESPRESSO input:
```
&SYSTEM
  ibrav = 0, nat = 8, ntyp = 3
/
ATOMIC_SPECIES
Ge 72.64 Ge.upf
Al 26.98 Al.upf
Se 78.96 Se.upf
CELL_PARAMETERS angstrom
-1.8231 2.0437 5.0866
-5.2371 -2.2329 -0.9799
-1.8911 -5.0747 4.6417
ATOMIC_POSITIONS crystal
Ge 0.2500 0.7500 0.5000
Ge 0.5000 0.5000 0.0000
Al 0.1430 0.6250 0.2500
Al 0.8750 0.8570 0.7500
Al 0.3750 0.3930 0.7500
Al 0.6070 0.1250 0.2500
Se 0.0000 0.0000 0.0000
Se 0.7500 0.2500 0.5000
```

Its total energy is -4.22 eV/atom. Its formation energy (no corrections) is -0.324 eV per atom. Its space group is I-42d, No. 122. The value obtained for the energy above the most stable polymorph in this dataset is 0 meV/atom.

***

Material: Tb7Pr2
Method: DFT, GGA-PBE
State: relaxed Values from VASP.

Geometry as Quantum ESPRESSO input:
```
&SYSTEM
  ibrav = 0, nat = 9, ntyp = 2
/
ATOMIC_SPECIES
Tb 158.93 Tb.upf
Pr 140.91 Pr.upf
CELL_PARAMETERS angstrom
6.2293 0.0000 0.0000
-3.1147 5.3947 0.0000
0.0000 0.0000 8.7924
ATOMIC_POSITIONS crystal
Tb 0.6678 0.0000 0.3363
Tb 0.3322 0.0000 0.6637
Tb 0.0000 0.6678 0.3363
Tb 0.0000 0.0000 0.0000
Tb 0.3322 0.3322 0.3363
Tb 0.0000 0.3322 0.6637
Tb 0.6678 0.6678 0.6637
Pr 0.6667 0.3333 0.0000
Pr 0.3333 0.6667 0.0000
```

Its total energy is -4.65 eV/atom. The energy relative to the elements comes out at 17 meV per atom. Its space group is P-31m, No. 162.

***

Material: Y6HgPt2
Method: DFT, GGA-PBE
State: relaxed Values from VASP.

Geometry as Quantum ESPRESSO input:
```
&SYSTEM
  ibrav = 0, nat = 18, ntyp = 3
/
ATOMIC_SPECIES
Y 88.91 Y.upf
Hg 200.59 Hg.upf
Pt 195.08 Pt.upf
CELL_PARAMETERS angstrom
-2.9515 -1.3505 -7.9175
8.5103 0.8343 0.3186
-1.7578 -6.7034 5.0197
ATOMIC_POSITIONS crystal
Y 0.8019 0.2377 0.0396
Y 0.3005 0.6318 0.3313
Y 0.6995 0.0309 0.3313
Y 0.1981 0.2377 0.4357
Y 0.5302 0.7116 0.8186
Y 0.3005 0.9691 0.6687
Y 0.4698 0.2884 0.1814
Y 0.1070 0.2884 0.8186
Y 0.1981 0.7623 0.9604
Y 0.6995 0.3682 0.6687
Y 0.8930 0.7116 0.1814
Y 0.8019 0.7623 0.5643
Hg 0.0000 0.0000 0.0000
Hg 0.0000 0.5000 0.5000
Pt 0.5000 0.3651 0.8651
Pt 0.6586 0.0000 0.6586
Pt 0.3414 0.0000 0.3414
Pt 0.5000 0.6349 0.1349
```

Its total energy is -6.41 eV/atom. The energy relative to the elements comes out at -727 meV per atom. Its space group is Immm, No. 71.

***

Material: Nd6MgNi3
Method: DFT, GGA-PBE
State: relaxed Values from VASP.

Geometry as Quantum ESPRESSO input:
```
&SYSTEM
  ibrav = 0, nat = 20, ntyp = 3
/
ATOMIC_SPECIES
Nd 144.24 Nd.upf
Ni 58.69 Ni.upf
Mg 24.30 Mg.upf
CELL_PARAMETERS angstrom
-6.2047 -2.4670 -2.3884
1.7583 -7.8175 3.5071
-4.0847 3.6950 6.7946
ATOMIC_POSITIONS crystal
Nd 0.3297 0.0259 0.4262
Nd 0.8297 0.9741 0.5738
Nd 0.6771 0.6297 0.6968
Nd 0.1412 0.0391 0.9609
Nd 0.6412 0.9609 0.0391
Nd 0.3297 0.5738 0.9741
Nd 0.1771 0.3703 0.3032
Nd 0.5000 0.2282 0.7718
Nd 0.1771 0.6968 0.6297
Nd 0.0000 0.7718 0.2282
Nd 0.8297 0.4262 0.0259
Nd 0.6771 0.3032 0.3703
Ni 0.4574 0.2807 0.0867
Ni 0.9574 0.0867 0.2807
Ni 0.3791 0.4169 0.5831
Ni 0.9574 0.7193 0.9133
Ni 0.8791 0.5831 0.4169
Ni 0.4574 0.9133 0.7193
Mg 0.5366 0.6723 0.3277
Mg 0.0366 0.3277 0.6723
```

Its total energy is -4.91 eV/atom. The energy relative to the elements comes out at -152 meV per atom. Its space group is Cmc2_1, No. 36.

***

Material: TcPdPt6
Method: DFT, GGA-PBE
State: relaxed Values from VASP.

Geometry as Quantum ESPRESSO input:
```
&SYSTEM
  ibrav = 0, nat = 8, ntyp = 3
/
ATOMIC_SPECIES
Pt 195.08 Pt.upf
Tc 98.00 Tc.upf
Pd 106.42 Pd.upf
CELL_PARAMETERS angstrom
3.9539 0.0000 0.0000
0.0000 3.9539 0.0000
0.0000 0.0000 7.8861
ATOMIC_POSITIONS crystal
Pt 0.0000 0.5000 0.7434
Pt 0.0000 0.5000 0.2566
Pt 0.5000 0.0000 0.7434
Pt 0.5000 0.5000 0.0000
Pt 0.5000 0.5000 0.5000
Pt 0.5000 0.0000 0.2566
Tc 0.0000 0.0000 0.5000
Pd 0.0000 0.0000 0.0000
```

Its total energy is -6.56 eV/atom. The energy relative to the elements comes out at -86 meV per atom. Its space group is P4/mmm, No. 123.

***

Material: Li2TiCo
Method: DFT, GGA-PBE
State: relaxed Values from VASP.

Geometry as Quantum ESPRESSO input:
```
&SYSTEM
  ibrav = 0, nat = 8, ntyp = 3
/
ATOMIC_SPECIES
Li 6.94 Li.upf
Ti 47.87 Ti.upf
Co 58.93 Co.upf
CELL_PARAMETERS angstrom
3.3872 0.0000 0.0000
0.0000 3.3872 0.0000
1.6936 1.6936 9.8650
ATOMIC_POSITIONS crystal
Li 0.8750 0.8999 0.7500
Li 0.3750 0.3501 0.7500
Li 0.6499 0.1250 0.2500
Li 0.1001 0.6250 0.2500
Ti 0.5000 0.5000 0.0000
Ti 0.2500 0.7500 0.5000
Co 0.0000 0.0000 0.0000
Co 0.7500 0.2500 0.5000
```

Its total energy is -4.51 eV/atom. The energy relative to the elements comes out at 201 meV per atom. Its space group is I-42d, No. 122. The value obtained for the energy above the most stable polymorph in this dataset is 0 meV/atom.